DFT (GGA-PBE) results for an optimized crystal structure of AlAsBr2.

```
data_AlAsBr2
_cell_length_a 3.503
_cell_length_b 4.456
_cell_length_c 6.099
_cell_angle_alpha 90.00
_cell_angle_beta 90.00
_cell_angle_gamma 90.00
_symmetry_space_group_name_H-M 'P m m m'
_symmetry_Int_Tables_number 47
_symmetry_space_group_name_Hall '-P 2 2'
loop_
_atom_site_label
_atom_site_type_symbol
_atom_site_fract_x
_atom_site_fract_y
_atom_site_fract_z
Al1 Al 0.000 0.000 0.000
As1 As 0.500 0.000 0.500
Br1 Br 0.000 0.500 0.500
Br2 Br 0.500 0.500 0.000
```

***

DFT (GGA-PBE) results for an optimized crystal structure of AlAsBr2.

```
data_AlAsBr2
_cell_length_a 16.799
_cell_length_b 3.526
_cell_length_c 3.959
_cell_angle_alpha 90.00
_cell_angle_beta 92.97
_cell_angle_gamma 90.00
_symmetry_space_group_name_H-M 'C 1 2/m 1'
_symmetry_Int_Tables_number 12
_symmetry_space_group_name_Hall '-C 2y'
loop_
_atom_site_label
_atom_site_type_symbol
_atom_site_fract_x
_atom_site_fract_y
_atom_site_fract_z
Al1 Al 0.000 0.000 0.000
As1 As 0.000 0.500 0.500
Br1 Br 0.139 0.500 0.834
```

***

DFT (GGA-PBE) results for an optimized crystal structure of AlAsBr2.

```
data_AlAsBr2
_cell_length_a 6.616
_cell_length_b 7.364
_cell_length_c 4.260
_cell_angle_alpha 90.00
_cell_angle_beta 90.00
_cell_angle_gamma 90.00
_symmetry_space_group_name_H-M 'C m m m'
_symmetry_Int_Tables_number 65
_symmetry_space_group_name_Hall '-C 2 2'
loop_
_atom_site_label
_atom_site_type_symbol
_atom_site_fract_x
_atom_site_fract_y
_atom_site_fract_z
Al1 Al 0.000 0.000 0.000
As1 As 0.000 0.500 0.000
Br1 Br 0.000 0.249 0.500
```

***

DFT (GGA-PBE) results for an optimized crystal structure of AlAsBr2.

```
data_AlAsBr2
_cell_length_a 3.5329
_cell_length_b 3.5329
_cell_length_c 28.4854
_cell_angle_alpha 90.00
_cell_angle_beta 90.00
_cell_angle_gamma 120.00
_symmetry_space_group_name_H-M 'R -3 m'
_symmetry_Int_Tables_number 166
_symmetry_space_group_name_Hall '-R 3 2"'
loop_
_atom_site_label
_atom_site_type_symbol
_atom_site_fract_x
_atom_site_fract_y
_atom_site_fract_z
Al1 Al 0.0000 0.0000 0.0000
As1 As 0.0000 0.0000 0.5000
Br1 Br 0.0000 0.0000 0.4067
```

***

DFT (GGA-PBE) results for an optimized crystal structure of Al2AsBr.

```
data_Al2AsBr
_cell_length_a 3.697
_cell_length_b 5.330
_cell_length_c 9.463
_cell_angle_alpha 90.00
_cell_angle_beta 90.00
_cell_angle_gamma 90.00
_symmetry_space_group_name_H-M 'C m m 2'
_symmetry_Int_Tables_number 35
_symmetry_space_group_name_Hall 'C 2 -2'
loop_
_atom_site_label
_atom_site_type_symbol
_atom_site_fract_x
_atom_site_fract_y
_atom_site_fract_z
Al1 Al 0.000 0.000 0.000
Al2 Al 0.000 0.500 0.220
As1 As 0.000 0.000 0.403
Br1 Br 0.000 0.500 0.807
```

***

DFT (GGA-PBE) results for an optimized crystal structure of AlAsBr2.

```
data_AlAsBr2
_cell_length_a 5.215
_cell_length_b 5.215
_cell_length_c 3.511
_cell_angle_alpha 90.00
_cell_angle_beta 90.00
_cell_angle_gamma 90.00
_symmetry_space_group_name_H-M 'P 4/m m m'
_symmetry_Int_Tables_number 123
_symmetry_space_group_name_Hall '-P 4 2'
loop_
_atom_site_label
_atom_site_type_symbol
_atom_site_fract_x
_atom_site_fract_y
_atom_site_fract_z
Al1 Al 0.000 0.000 0.000
As1 As 0.500 0.500 0.000
Br1 Br 0.000 0.500 0.500
```

***

DFT (GGA-PBE) results for an optimized crystal structure of AlAsBr2.

```
data_AlAsBr2
_cell_length_a 10.407
_cell_length_b 10.407
_cell_length_c 4.868
_cell_angle_alpha 90.00
_cell_angle_beta 90.00
_cell_angle_gamma 90.00
_symmetry_space_group_name_H-M 'I -4 2 d'
_symmetry_Int_Tables_number 122
_symmetry_space_group_name_Hall 'I -4 2bw'
loop_
_atom_site_label
_atom_site_type_symbol
_atom_site_fract_x
_atom_site_fract_y
_atom_site_fract_z
Al1 Al 0.000 0.000 0.000
As1 As 0.000 0.000 0.500
Br1 Br 0.009 0.250 0.125
```

***

DFT (GGA-PBE) results for an optimized crystal structure of Al2AsBr.

```
data_Al2AsBr
_cell_length_a 7.184
_cell_length_b 7.407
_cell_length_c 5.023
_cell_angle_alpha 90.00
_cell_angle_beta 132.51
_cell_angle_gamma 90.00
_symmetry_space_group_name_H-M 'C 1 2/m 1'
_symmetry_Int_Tables_number 12
_symmetry_space_group_name_Hall '-C 2y'
loop_
_atom_site_label
_atom_site_type_symbol
_atom_site_fract_x
_atom_site_fract_y
_atom_site_fract_z
Al1 Al 0.250 0.250 0.000
As1 As 0.000 0.000 0.500
Br1 Br 0.000 0.500 0.500
```

***

These records have energy relative to the elements, uncorrected values of 59 -99 47 37 -7 126 -28 47 kJ/mol of formula units, in the order they appear.